(1)
## K2AlCo (PBE-GGA)

Data for a geometry-optimized K2AlCo structure.

Lattice parameters (Å, degrees): 3.071 3.788 10.168 90.00 98.14 90.00
Sites, in units of the cell vectors:
K  0.000  0.000  0.000
K  0.268  0.500  0.586
Al  0.626  0.500  0.282
Co  0.136  0.000  0.304

Calculated values
Calculated formation energy = 313.1 meV/atom
Symmetry = Pm (6)
Energy = -11.791 eV per cell

---

(2)
## KAlCo4 (PBE-GGA)

Data for a geometry-optimized KAlCo4 structure.

Lattice parameters (Å, degrees): 4.990 4.990 4.990 60.00 60.00 60.00
Sites, in units of the cell vectors:
K  0.000  0.000  0.000
Al  0.750  0.750  0.750
Co  0.377  0.377  0.377
Co  0.377  0.377  0.870
Co  0.377  0.870  0.377
Co  0.870  0.377  0.377

Calculated values
Calculated formation energy = 538.7 meV/atom
Symmetry = F-43m (216)
Energy = -30.031 eV per cell

---

(3)
## K4AlCo (PBE-GGA)

Data for a geometry-optimized K4AlCo structure.

Lattice parameters (Å, degrees): 7.133 7.133 7.133 60.00 60.00 60.00
Sites, in units of the cell vectors:
K  0.125  0.125  0.125
K  0.125  0.125  0.624
K  0.125  0.624  0.125
K  0.624  0.125  0.125
Al  0.750  0.750  0.750
Co  0.500  0.500  0.500

Calculated values
Calculated formation energy = 983.7 meV/atom
Symmetry = F-43m (216)
Energy = -9.336 eV per cell